[1]
NaHoCr2O8 | GGA+U | optimized geometry

Lattice parameters (Å, degrees): 5.991 5.991 5.991 105.64 105.64 117.44
Element x y z (fractional)
O (0.920, 0.598, 0.677)
Na (0.000, 0.000, 0.000)
O (0.345, 0.157, 0.813)
O (0.345, 0.532, 0.187)
O (0.757, 0.080, 0.677)
O (0.843, 0.655, 0.187)
O (0.920, 0.243, 0.323)
Cr (0.500, 0.500, 0.000)
Ho (0.250, 0.750, 0.500)
O (0.402, 0.080, 0.323)
Cr (0.750, 0.250, 0.500)
O (0.468, 0.655, 0.813)

Calculated values
E_tot   -6.9125 eV per atom
Space group   I-4m2, No. 119
Calculated volume   163.1 Å³ per cell


[2]
NaHoCrO4 | GGA+U | optimized geometry

Lattice parameters (Å, degrees): 5.756 5.924 6.815 90.00 112.27 90.00
Each line ends with the local moment (μB).
Element x y z (fractional)
Cr (0.253, 0.750, 0.314)  2.04
O (0.023, 0.972, 0.300)  -0.02
Cr (0.747, 0.250, 0.686)  2.04
Na (0.351, 0.250, 0.064)  0.00
O (0.023, 0.528, 0.300)  -0.02
Ho (0.185, 0.250, 0.531)  0.03
O (0.452, 0.750, 0.170)  -0.04
O (0.977, 0.028, 0.700)  -0.02
Na (0.649, 0.750, 0.936)  0.00
Ho (0.815, 0.750, 0.469)  0.03
O (0.548, 0.250, 0.830)  -0.04
O (0.977, 0.472, 0.700)  -0.02
O (0.480, 0.750, 0.578)  -0.02
O (0.520, 0.250, 0.422)  -0.02

Calculated values
E_tot   -6.9862 eV per atom
Space group   P2_1/m, No. 11
Calculated volume   215.1 Å³ per cell


[3]
Na3Ho3CrO8 | GGA+U | optimized geometry

Lattice parameters (Å, degrees): 6.617 6.615 6.733 119.44 89.99 120.02
Each line ends with the local moment (μB).
Element x y z (fractional)
O (0.232, 0.019, 0.306)  -0.03
O (0.737, 0.474, 0.710)  0.00
O (0.263, 0.526, 0.290)  0.00
Na (0.000, 0.500, 0.000)  0.00
Ho (0.500, 0.500, 0.500)  0.00
O (0.213, 0.426, 0.694)  -0.03
Ho (0.500, 0.000, 0.500)  0.01
Na (0.000, 0.000, 0.000)  0.00
Na (0.500, 0.500, 0.000)  0.00
Ho (0.000, 0.500, 0.500)  0.00
Cr (0.000, 0.000, 0.500)  2.16
O (0.787, 0.019, 0.306)  -0.03
O (0.213, 0.981, 0.694)  -0.03
O (0.768, 0.981, 0.694)  -0.03
O (0.787, 0.574, 0.306)  -0.03

Calculated values
E_tot   -6.8810 eV per atom
Space group   R-3m, No. 166
Calculated volume   210.1 Å³ per cell


[4]
NaHo2CrO5 | GGA+U | optimized geometry

Lattice parameters (Å, degrees): 5.688 6.463 6.463 90.00 90.00 90.00
Each line ends with the local moment (μB).
Element x y z (fractional)
Cr (0.000, 0.000, 0.500)  2.87
Na (0.000, 0.500, 0.500)  0.00
O (0.500, 0.000, 0.000)  0.01
Ho (0.500, 0.178, 0.322)  -0.01
O (0.247, 0.639, 0.861)  -0.02
Na (0.000, 0.000, 0.000)  0.00
Cr (0.000, 0.500, 0.000)  2.87
Ho (0.500, 0.322, 0.822)  -0.01
O (0.753, 0.861, 0.361)  -0.02
O (0.753, 0.139, 0.639)  -0.02
O (0.247, 0.139, 0.639)  -0.02
O (0.500, 0.500, 0.500)  0.01
Ho (0.500, 0.678, 0.178)  -0.01
O (0.753, 0.639, 0.861)  -0.02
Ho (0.500, 0.822, 0.678)  -0.01
O (0.247, 0.361, 0.139)  -0.02
O (0.247, 0.861, 0.361)  -0.02
O (0.753, 0.361, 0.139)  -0.02

Calculated values
E_tot   -7.3331 eV per atom
Space group   P4/mbm, No. 127
Calculated volume   237.6 Å³ per cell